[1]
# YCuC PBE optimized geometry
# symmetry	P4/mmm (123)
# ΔH_f (0 K)	-73	meV/atom
# energy	-6.667	eV per atom
data_YCuC
_cell_length_a 5.042
_cell_length_b 3.776
_cell_length_c 5.041
_cell_angle_alpha 90.00
_cell_angle_beta 90.00
_cell_angle_gamma 90.01
_space_group_name_H-M_alt 'P 1'
_space_group_IT_number 1
_space_group_name_Hall 'P 1'
loop_
_atom_site_label
_atom_site_type_symbol
_atom_site_fract_x
_atom_site_fract_y
_atom_site_fract_z
C1 C 0.643 0.689 0.534
C2 C 0.143 0.689 0.034
Y1 Y 0.643 0.688 0.034
Y2 Y 0.143 0.689 0.534
Cu1 Cu 0.143 0.189 0.034
Cu2 Cu 0.643 0.189 0.534

[2]
# UCr4PbS8 PBE optimized geometry
# symmetry	R3m (160)
# energy	-6.781	eV per atom
# formation energy from raw total energies	-602	meV/atom
data_UCr4PbS8
_cell_length_a 6.807
_cell_length_b 6.807
_cell_length_c 7.672
_cell_angle_alpha 63.67
_cell_angle_beta 63.67
_cell_angle_gamma 60.00
_space_group_name_H-M_alt 'P 1'
_space_group_IT_number 1
_space_group_name_Hall 'P 1'
loop_
_atom_site_label
_atom_site_type_symbol
_atom_site_fract_x
_atom_site_fract_y
_atom_site_fract_z
U1 U 0.009 0.009 0.974
Cr1 Cr 0.552 0.973 0.502
Cr2 Cr 0.973 0.552 0.502
Cr3 Cr 0.973 0.973 0.502
Cr4 Cr 0.634 0.634 0.099
S1 S 0.750 0.230 0.270
S2 S 0.753 0.753 0.742
S3 S 0.785 0.266 0.683
S4 S 0.266 0.785 0.683
S5 S 0.266 0.266 0.683
S6 S 0.211 0.211 0.368
S7 S 0.750 0.750 0.270
S8 S 0.230 0.750 0.270
Pb1 Pb 0.349 0.349 0.952

[3]
# PmZrNbO6 PBE optimized geometry
# symmetry	P-31c (163)
# energy	-8.982	eV per atom
# formation energy from raw total energies	-3080	meV/atom
data_PmZrNbO6
_cell_length_a 5.449
_cell_length_b 5.449
_cell_length_c 9.994
_cell_angle_alpha 90.00
_cell_angle_beta 90.00
_cell_angle_gamma 120.00
_space_group_name_H-M_alt 'P 1'
_space_group_IT_number 1
_space_group_name_Hall 'P 1'
loop_
_atom_site_label
_atom_site_type_symbol
_atom_site_fract_x
_atom_site_fract_y
_atom_site_fract_z
O1 O 0.352 0.987 0.139
O2 O 0.987 0.352 0.639
O3 O 0.635 0.648 0.139
O4 O 0.013 0.365 0.139
O5 O 0.635 0.987 0.361
O6 O 0.648 0.635 0.639
O7 O 0.648 0.013 0.861
O8 O 0.013 0.648 0.361
O9 O 0.365 0.352 0.861
O10 O 0.987 0.635 0.861
O11 O 0.365 0.013 0.639
O12 O 0.352 0.365 0.361
Nb1 Nb 0.667 0.333 0.750
Nb2 Nb 0.333 0.667 0.250
Zr1 Zr 0.667 0.333 0.250
Zr2 Zr 0.333 0.667 0.750
Pm1 Pm 0.000 0.000 0.000
Pm2 Pm 0.000 0.000 0.500

[4]
# ZnInP3 PBE optimized geometry
# symmetry	Pm-3m (221)
# ΔH_f (0 K)	834	meV/atom
# energy	-3.214	eV per atom
# distance to the lowest polymorph of the same formula	0.0	meV per atom
data_ZnInP3
_cell_length_a 4.692
_cell_length_b 4.692
_cell_length_c 4.692
_cell_angle_alpha 90.00
_cell_angle_beta 90.00
_cell_angle_gamma 90.00
_space_group_name_H-M_alt 'P 1'
_space_group_IT_number 1
_space_group_name_Hall 'P 1'
loop_
_atom_site_label
_atom_site_type_symbol
_atom_site_fract_x
_atom_site_fract_y
_atom_site_fract_z
Zn1 Zn 0.000 0.000 0.000
P1 P 0.500 0.000 0.000
P2 P 0.000 0.000 0.500
P3 P 0.000 0.500 0.000
In1 In 0.500 0.500 0.500

[5]
# Fe2SnRuC PBE optimized geometry
# symmetry	P4/mmm (123)
# ΔH_f (0 K)	77	meV/atom
# energy	-7.809	eV per atom
data_Fe2SnRuC
_cell_length_a 3.872
_cell_length_b 3.872
_cell_length_c 4.059
_cell_angle_alpha 90.00
_cell_angle_beta 90.00
_cell_angle_gamma 90.00
_space_group_name_H-M_alt 'P 1'
_space_group_IT_number 1
_space_group_name_Hall 'P 1'
loop_
_atom_site_label
_atom_site_type_symbol
_atom_site_fract_x
_atom_site_fract_y
_atom_site_fract_z
Fe1 Fe 0.500 0.000 0.000
Fe2 Fe 0.000 0.500 0.000
Ru1 Ru 0.000 0.000 0.500
C1 C 0.000 0.000 0.000
Sn1 Sn 0.500 0.500 0.500

[6]
# PaReW2 PBE optimized geometry
# symmetry	P4/mmm (123)
# ΔH_f (0 K)	219	meV/atom
# energy	-11.743	eV per atom
# distance to the lowest polymorph of the same formula	0.0	meV per atom
data_PaReW2
_cell_length_a 3.058
_cell_length_b 3.058
_cell_length_c 7.848
_cell_angle_alpha 90.00
_cell_angle_beta 90.00
_cell_angle_gamma 90.00
_space_group_name_H-M_alt 'P 1'
_space_group_IT_number 1
_space_group_name_Hall 'P 1'
loop_
_atom_site_label
_atom_site_type_symbol
_atom_site_fract_x
_atom_site_fract_y
_atom_site_fract_z
Re1 Re 0.500 0.500 0.500
Pa1 Pa 0.500 0.500 0.000
W1 W 0.000 0.000 0.293
W2 W 0.000 0.000 0.707

energy of number 1 (YCuC)?
-6.667 eV per atom

Which value of energy does entry 2 give?
-6.781 eV per atom

Please write out number 6 again, unchanged.
# PaReW2 PBE optimized geometry
# symmetry	P4/mmm (123)
# ΔH_f (0 K)	219	meV/atom
# energy	-11.743	eV per atom
# distance to the lowest polymorph of the same formula	0.0	meV per atom
data_PaReW2
_cell_length_a 3.058
_cell_length_b 3.058
_cell_length_c 7.848
_cell_angle_alpha 90.00
_cell_angle_beta 90.00
_cell_angle_gamma 90.00
_space_group_name_H-M_alt 'P 1'
_space_group_IT_number 1
_space_group_name_Hall 'P 1'
loop_
_atom_site_label
_atom_site_type_symbol
_atom_site_fract_x
_atom_site_fract_y
_atom_site_fract_z
Re1 Re 0.500 0.500 0.500
Pa1 Pa 0.500 0.500 0.000
W1 W 0.000 0.000 0.293
W2 W 0.000 0.000 0.707